The following is a DFT calculation (PBE-GGA) of a relaxed structure of LiCe2Os.

Cell lengths 3.262, 3.262, 9.103 Å; angles 90.00, 90.00, 90.00 degrees
Element x y z (fractional)
Os  0.500  0.500  0.500
Ce  0.000  0.000  0.701
Ce  0.000  0.000  0.299
Li  0.500  0.500  0.000

Values from the calculation:
space group	P4/mmm (123)
ΔE_f	-16	meV/atom
final energy	-25.07	eV/f.u.
total magnetization	1.42	μB/cell